# 1
# PBE Pm4Sm3Sc, optimized geometry
# - formation enthalpy at 0 K (eV per atom) = 0.120
# - ρ (g/cm³) = 6.7
data_Pm4Sm3Sc
_space_group_name_H-M_alt 'I m m m'
_space_group_IT_number 71
_space_group_name_Hall '-I 2 2'
_cell_length_a 3.5128
_cell_length_b 11.6541
_cell_length_c 12.9813
_cell_angle_alpha 90.00
_cell_angle_beta 90.00
_cell_angle_gamma 90.00
loop_
_atom_site_label
_atom_site_type_symbol
_atom_site_fract_x
_atom_site_fract_y
_atom_site_fract_z
_atom_site_occupancy
Pm1 Pm 0.0000 0.2439 0.1323 1
Sm1 Sm 0.0000 0.0000 0.5000 1
Sm2 Sm 0.0000 0.5000 0.2624 1
Sc1 Sc 0.0000 0.0000 0.0000 1

***

# 2
# PBE Pm2Sm8Sc3, optimized geometry
# - formation enthalpy at 0 K (eV per atom) = 0.244
# - ρ (g/cm³) = 6.2
data_Pm2Sm8Sc3
_space_group_name_H-M_alt 'C 1 2/m 1'
_space_group_IT_number 12
_cell_length_a 14.9644
_cell_length_b 8.8245
_cell_length_c 6.6421
_cell_angle_alpha 90.00
_cell_angle_beta 98.90
_cell_angle_gamma 90.00
loop_
_space_group_symop_operation_xyz
'x,y,z'
'-x,-y,-z'
'-x,y,-z'
'x,-y,z'
'x+1/2,y+1/2,z'
'-x+1/2,-y+1/2,-z'
'-x+1/2,y+1/2,-z'
'x+1/2,-y+1/2,z'
loop_
_atom_site_label
_atom_site_type_symbol
_atom_site_fract_x
_atom_site_fract_y
_atom_site_fract_z
_atom_site_occupancy
Pm1 Pm 0.2005 0.0000 0.2941 1
Sm1 Sm 0.0905 0.5000 0.8963 1
Sm2 Sm 0.1093 0.3169 0.4278 1
Sm3 Sm 0.1876 0.0000 0.8080 1
Sc1 Sc 0.0000 0.0000 0.5000 1
Sc2 Sc 0.0000 0.1620 0.0000 1

***

# 3
# PBE Pm2Sm4Sc3, optimized geometry
# - formation enthalpy at 0 K (eV per atom) = 0.052
# - ρ (g/cm³) = 6.2
data_Pm2Sm4Sc3
_space_group_name_H-M_alt 'C 1 2/m 1'
_space_group_IT_number 12
_cell_length_a 18.1223
_cell_length_b 3.5381
_cell_length_c 8.5928
_cell_angle_alpha 90.00
_cell_angle_beta 91.42
_cell_angle_gamma 90.00
loop_
_space_group_symop_operation_xyz
'x,y,z'
'-x,-y,-z'
'-x,y,-z'
'x,-y,z'
'x+1/2,y+1/2,z'
'-x+1/2,-y+1/2,-z'
'-x+1/2,y+1/2,-z'
'x+1/2,-y+1/2,z'
loop_
_atom_site_label
_atom_site_type_symbol
_atom_site_fract_x
_atom_site_fract_y
_atom_site_fract_z
_atom_site_occupancy
Pm1 Pm 0.1611 0.0000 0.4915 1
Sm1 Sm 0.0516 0.0000 0.8314 1
Sm2 Sm 0.2240 0.5000 0.8308 1
Sc1 Sc 0.0000 0.5000 0.5000 1
Sc2 Sc 0.1101 0.5000 0.1606 1

***

# 4
# PBE Pm7Sm4Sc, optimized geometry
# - formation enthalpy at 0 K (eV per atom) = 0.025
# - ρ (g/cm³) = 6.9
data_Pm7Sm4Sc
_space_group_name_H-M_alt 'P -1'
_space_group_IT_number 2
_cell_length_a 6.2962
_cell_length_b 7.2795
_cell_length_c 9.0079
_cell_angle_alpha 89.97
_cell_angle_beta 76.45
_cell_angle_gamma 89.99
loop_
_space_group_symop_operation_xyz
'x,y,z'
'-x,-y,-z'
loop_
_atom_site_label
_atom_site_type_symbol
_atom_site_fract_x
_atom_site_fract_y
_atom_site_fract_z
_atom_site_occupancy
Pm1 Pm 0.0000 0.0000 0.0000 1
Pm2 Pm 0.2188 0.5004 0.3309 1
Pm3 Pm 0.2758 0.2529 0.6713 1
Pm4 Pm 0.5002 0.2523 0.0000 1
Sm1 Sm 0.2260 0.0002 0.3345 1
Sm2 Sm 0.2756 0.7463 0.6719 1
Sc1 Sc 0.0000 0.5000 0.0000 1

***

Number 1: magnetic moment 0.0 μB per formula unit. Number 2: magnetic moment 0.0 μB per formula unit. Number 3: magnetic moment 0.0 μB per formula unit. Number 4: magnetic moment 0.0 μB per formula unit.